(1)
Entry from Alexandria: a geometry-optimized SrCrGa2Ge structure (PBE-GGA).

abc: 4.7702 4.7702 4.6776
angles: 90.00 90.00 90.00
Space group P4/mmm (No. 123)
Symmetry-distinct sites (fractional):
1 Sr 0.0000 0.0000 0.0000
2 Cr 0.5000 0.5000 0.5000
3 Ga 0.0000 0.5000 0.5000
4 Ge 0.5000 0.5000 0.0000

Output
ΔH_f (0 K) ... -0.260 eV/atom
Total moment ... 0.00 μB/f.u.

---

(2)
Entry from Alexandria: a geometry-optimized SrMg11Hg structure (PBE-GGA).

abc: 5.9467 14.6630 7.8672
angles: 90.00 111.20 90.00
Space group C2/m (No. 12)
Symmetry-distinct sites (fractional):
1 Sr 0.0000 0.0000 0.0000
2 Mg 0.0000 0.0000 0.5000
3 Mg 0.1048 0.3920 0.2215
4 Mg 0.1726 0.1762 0.3567
5 Mg 0.2500 0.2500 0.0000
6 Hg 0.0000 0.5000 0.5000

Output
ΔH_f (0 K) ... -0.087 eV/atom
Total moment ... 0.00 μB/f.u.

---

(3)
Entry from Alexandria: a geometry-optimized MgNb2Mo structure (PBE-GGA).

abc: 7.4134 7.4134 5.6269
angles: 90.00 90.00 90.00
Space group I-42d (No. 122)
Symmetry-distinct sites (fractional):
1 Mg 0.0000 0.0000 0.0000
2 Nb 0.2203 0.2500 0.6250
3 Mo 0.0000 0.0000 0.5000

Output
ΔH_f (0 K) ... 0.693 eV/atom
Total moment ... 0.00 μB/f.u.

---

(4)
Entry from Alexandria: a geometry-optimized SmDy2Pa structure (PBE-GGA).

abc: 3.3412 3.3412 36.9026
angles: 90.00 90.00 120.00
Space group R-3m (No. 166, hexagonal axes)
Symmetry-distinct sites (fractional):
1 Sm 0.0000 0.0000 0.0000
2 Dy 0.0000 0.0000 0.4132
3 Pa 0.0000 0.0000 0.5000

Output
ΔH_f (0 K) ... 0.295 eV/atom
Total moment ... 0.00 μB/f.u.
Relative energy among the computed polymorphs ... 175.6 meV/atom